(1)
{"formula": "Ta2Co3", "functional": "GGA-PBEsol", "state": "relaxed", "e_form_ev_per_atom": 0.20, "dos_ef_per_ev_atom": 0.881, "sg": "P-3m1", "m_tot_mub_per_fu": 0.7, "lattice_angstrom": [[-3.835, 1.418, -0.241], [1.175, -3.136, -2.357], [-1.408, -3.203, 3.561]], "species": ["Co", "Co", "Co", "Ta", "Ta"], "fractional_positions": [[0.000, 0.000, 0.000], [0.333, 0.667, 0.311], [0.667, 0.333, 0.689], [0.333, 0.667, 0.801], [0.667, 0.333, 0.199]]}



(2)
{"formula": "La2VZnO6", "functional": "GGA-PBEsol", "state": "relaxed", "dos_ef_per_ev_atom": 0.534, "sg": "R-3", "e_form_raw_ev_per_atom": -2.790, "m_tot_mub_per_fu": 1.0, "lattice_angstrom": [[5.448, 0.002, 0.001], [2.595, 4.791, 0.001], [2.595, 1.546, 4.534]], "species": ["La", "La", "V", "Zn", "O", "O", "O", "O", "O", "O"], "fractional_positions": [[0.751, 0.751, 0.751], [0.249, 0.249, 0.249], [0.000, 0.000, 0.000], [0.500, 0.500, 0.500], [0.763, 0.314, 0.167], [0.167, 0.763, 0.314], [0.314, 0.167, 0.763], [0.237, 0.686, 0.833], [0.686, 0.833, 0.237], [0.833, 0.237, 0.686]]}